[1]
A plane-wave DFT calculation with PBE was carried out for a relaxed structure of YTePd5.

Calculated values
The calculation puts the volume at 18.78 Å³ per atom. Its density of states at the Fermi level is 0.42 states/eV per atom. For the energy relative to the elements, uncorrected, the calculation gives -0.616 eV/atom.

Structure (CIF):
```
data_YTePd5
_space_group_name_H-M_alt 'P 4/m m m'
_space_group_IT_number 123
_space_group_name_Hall '-P 4 2'
_cell_length_a 4.189
_cell_length_b 4.189
_cell_length_c 7.492
_cell_angle_alpha 90.00
_cell_angle_beta 90.00
_cell_angle_gamma 90.00
loop_
_atom_site_label
_atom_site_type_symbol
_atom_site_fract_x
_atom_site_fract_y
_atom_site_fract_z
_atom_site_occupancy
Y1 Y 0.000 0.000 0.000 1
Te1 Te 0.500 0.500 0.500 1
Pd1 Pd 0.000 0.500 0.273 1
Pd2 Pd 0.500 0.500 0.000 1
```

[2]
A plane-wave DFT calculation with PBE was carried out for a relaxed structure of Y2Te2Pd.

Calculated values
The calculation puts the volume at 26.92 Å³ per atom. Its density of states at the Fermi level is 0.35 states/eV per atom. For the energy relative to the elements, uncorrected, the calculation gives -0.932 eV/atom.

Structure (CIF):
```
data_Y2Te2Pd
_space_group_name_H-M_alt 'P 4/m b m'
_space_group_IT_number 127
_space_group_name_Hall '-P 4 2ab'
_cell_length_a 8.025
_cell_length_b 8.025
_cell_length_c 4.180
_cell_angle_alpha 90.00
_cell_angle_beta 90.00
_cell_angle_gamma 90.00
loop_
_atom_site_label
_atom_site_type_symbol
_atom_site_fract_x
_atom_site_fract_y
_atom_site_fract_z
_atom_site_occupancy
Y1 Y 0.160 0.340 0.000 1
Te1 Te 0.150 0.650 0.500 1
Pd1 Pd 0.000 0.000 0.000 1
```

[3]
A plane-wave DFT calculation with PBE was carried out for a relaxed structure of Y3Te2Pd.

Calculated values
The calculation puts the volume at 28.22 Å³ per atom. Its density of states at the Fermi level is 0.51 states/eV per atom. For the energy relative to the elements, uncorrected, the calculation gives -1.151 eV/atom.

Structure (CIF):
```
data_Y3Te2Pd
_space_group_name_H-M_alt 'C 1 2/m 1'
_space_group_IT_number 12
_space_group_name_Hall '-C 2y'
_cell_length_a 7.317
_cell_length_b 12.729
_cell_length_c 7.684
_cell_angle_alpha 90.00
_cell_angle_beta 108.85
_cell_angle_gamma 90.00
loop_
_atom_site_label
_atom_site_type_symbol
_atom_site_fract_x
_atom_site_fract_y
_atom_site_fract_z
_atom_site_occupancy
Y1 Y 0.216 0.000 0.221 1
Y2 Y 0.245 0.178 0.772 1
Te1 Te 0.000 0.000 0.500 1
Te2 Te 0.000 0.343 0.500 1
Te3 Te 0.000 0.500 0.000 1
Pd1 Pd 0.000 0.170 0.000 1
```

[4]
A plane-wave DFT calculation with PBE was carried out for a relaxed structure of Y3Te12Pd5.

Calculated values
The calculation puts the volume at 29.77 Å³ per atom. Its density of states at the Fermi level is 0.56 states/eV per atom. For the energy relative to the elements, uncorrected, the calculation gives -0.581 eV/atom.

Structure (CIF):
```
data_Y3Te12Pd5
_space_group_name_H-M_alt 'I a -3 d'
_space_group_IT_number 230
_space_group_name_Hall '-I 4bd 2c 3'
_cell_length_a 16.826
_cell_length_b 16.826
_cell_length_c 16.826
_cell_angle_alpha 90.00
_cell_angle_beta 90.00
_cell_angle_gamma 90.00
loop_
_atom_site_label
_atom_site_type_symbol
_atom_site_fract_x
_atom_site_fract_y
_atom_site_fract_z
_atom_site_occupancy
Y1 Y 0.000 0.250 0.125 1
Te1 Te 0.022 0.060 0.649 1
Pd1 Pd 0.000 0.000 0.000 1
Pd2 Pd 0.000 0.250 0.375 1
```

[5]
A plane-wave DFT calculation with PBE was carried out for a relaxed structure of Y2TePd8.

Calculated values
The calculation puts the volume at 18.66 Å³ per atom. Its density of states at the Fermi level is 0.41 states/eV per atom. For the energy relative to the elements, uncorrected, the calculation gives -0.611 eV/atom.

Structure (CIF):
```
data_Y2TePd8
_space_group_name_H-M_alt 'I m m m'
_space_group_IT_number 71
_space_group_name_Hall '-I 2 2'
_cell_length_a 4.805
_cell_length_b 5.933
_cell_length_c 14.398
_cell_angle_alpha 90.00
_cell_angle_beta 90.00
_cell_angle_gamma 90.00
loop_
_atom_site_label
_atom_site_type_symbol
_atom_site_fract_x
_atom_site_fract_y
_atom_site_fract_z
_atom_site_occupancy
Y1 Y 0.000 0.000 0.187 1
Te1 Te 0.000 0.000 0.500 1
Pd1 Pd 0.000 0.255 0.000 1
Pd2 Pd 0.000 0.260 0.360 1
Pd3 Pd 0.000 0.500 0.186 1
```

[6]
A plane-wave DFT calculation with PBE was carried out for a relaxed structure of YTePd2.

Calculated values
The calculation puts the volume at 20.36 Å³ per atom. Its density of states at the Fermi level is 0.43 states/eV per atom. For the energy relative to the elements, uncorrected, the calculation gives -0.750 eV/atom.

Structure (CIF):
```
data_YTePd2
_space_group_name_H-M_alt 'P 4/m m m'
_space_group_IT_number 123
_space_group_name_Hall '-P 4 2'
_cell_length_a 4.344
_cell_length_b 4.344
_cell_length_c 4.316
_cell_angle_alpha 90.00
_cell_angle_beta 90.00
_cell_angle_gamma 90.00
loop_
_atom_site_label
_atom_site_type_symbol
_atom_site_fract_x
_atom_site_fract_y
_atom_site_fract_z
_atom_site_occupancy
Y1 Y 0.000 0.000 0.000 1
Te1 Te 0.500 0.500 0.000 1
Pd1 Pd 0.000 0.500 0.500 1
```

[7]
A plane-wave DFT calculation with PBE was carried out for a relaxed structure of YTe2Pd7.

Calculated values
The calculation puts the volume at 19.27 Å³ per atom. Its density of states at the Fermi level is 0.47 states/eV per atom. For the energy relative to the elements, uncorrected, the calculation gives -0.501 eV/atom.

Structure (CIF):
```
data_YTe2Pd7
_space_group_name_H-M_alt 'I 4/m m m'
_space_group_IT_number 139
_space_group_name_Hall '-I 4 2'
_cell_length_a 4.215
_cell_length_b 4.215
_cell_length_c 21.690
_cell_angle_alpha 90.00
_cell_angle_beta 90.00
_cell_angle_gamma 90.00
loop_
_atom_site_label
_atom_site_type_symbol
_atom_site_fract_x
_atom_site_fract_y
_atom_site_fract_z
_atom_site_occupancy
Y1 Y 0.000 0.000 0.000 1
Te1 Te 0.000 0.000 0.329 1
Pd1 Pd 0.000 0.000 0.500 1
Pd2 Pd 0.000 0.500 0.094 1
Pd3 Pd 0.000 0.500 0.250 1
```

[8]
A plane-wave DFT calculation with PBE was carried out for a relaxed structure of ZnTe2Pd2.

Calculated values
The calculation puts the volume at 21.46 Å³ per atom. Its density of states at the Fermi level is 0.44 states/eV per atom. For the energy relative to the elements, uncorrected, the calculation gives -0.042 eV/atom.

Structure (CIF):
```
data_ZnTe2Pd2
_space_group_name_H-M_alt 'P 4/m b m'
_space_group_IT_number 127
_space_group_name_Hall '-P 4 2ab'
_cell_length_a 7.641
_cell_length_b 7.641
_cell_length_c 3.676
_cell_angle_alpha 90.00
_cell_angle_beta 90.00
_cell_angle_gamma 90.00
loop_
_atom_site_label
_atom_site_type_symbol
_atom_site_fract_x
_atom_site_fract_y
_atom_site_fract_z
_atom_site_occupancy
Zn1 Zn 0.000 0.000 0.000 1
Te1 Te 0.176 0.324 0.000 1
Pd1 Pd 0.129 0.629 0.500 1
```